1.
Here is a geometry-optimized KGaCl4 structure from Alexandria. Energies are from PBE.

```
data_KGaCl4
_cell_length_a 7.3285
_cell_length_b 10.3809
_cell_length_c 12.3924
_cell_angle_alpha 90.00
_cell_angle_beta 126.13
_cell_angle_gamma 90.00
_symmetry_space_group_name_H-M 'P 1'
_symmetry_Int_Tables_number 1
loop_
_symmetry_equiv_pos_as_xyz
'x,y,z'
loop_
_atom_site_label
_atom_site_type_symbol
_atom_site_fract_x
_atom_site_fract_y
_atom_site_fract_z
K1 K 0.0580 0.2393 0.2436
K2 K 0.0580 0.2607 0.7436
K3 K 0.9420 0.7393 0.2564
K4 K 0.9420 0.7607 0.7564
Ga1 Ga 0.4334 0.0111 0.6826
Ga2 Ga 0.4334 0.4889 0.1826
Ga3 Ga 0.5666 0.5111 0.8174
Ga4 Ga 0.5666 0.9889 0.3174
Cl1 Cl 0.1978 0.5448 0.6883
Cl2 Cl 0.1978 0.9552 0.1883
Cl3 Cl 0.2439 0.1807 0.5593
Cl4 Cl 0.2439 0.3193 0.0593
Cl5 Cl 0.3169 0.5209 0.3095
Cl6 Cl 0.3169 0.9791 0.8095
Cl7 Cl 0.3814 0.6600 0.0622
Cl8 Cl 0.3814 0.8400 0.5622
Cl9 Cl 0.6186 0.1600 0.4378
Cl10 Cl 0.6186 0.3400 0.9378
Cl11 Cl 0.6831 0.0209 0.1905
Cl12 Cl 0.6831 0.4791 0.6905
Cl13 Cl 0.7561 0.6807 0.9407
Cl14 Cl 0.7561 0.8193 0.4407
Cl15 Cl 0.8022 0.0448 0.8117
Cl16 Cl 0.8022 0.4552 0.3117
```

uncorrected formation energy	-1491	meV per atom
density of states at the Fermi level	0.0000	states/eV per atom

=====

2.
Here is a geometry-optimized KGaCl2 structure from Alexandria. Energies are from PBE.

```
data_KGaCl2
_cell_length_a 5.3033
_cell_length_b 5.3033
_cell_length_c 5.3033
_cell_angle_alpha 60.00
_cell_angle_beta 60.00
_cell_angle_gamma 60.00
_symmetry_space_group_name_H-M 'P 1'
_symmetry_Int_Tables_number 1
loop_
_symmetry_equiv_pos_as_xyz
'x,y,z'
loop_
_atom_site_label
_atom_site_type_symbol
_atom_site_fract_x
_atom_site_fract_y
_atom_site_fract_z
K1 K 0.0000 0.0000 0.0000
Ga1 Ga 0.5000 0.5000 0.5000
Cl1 Cl 0.2500 0.2500 0.2500
Cl2 Cl 0.7500 0.7500 0.7500
```

uncorrected formation energy	-1240	meV per atom
density of states at the Fermi level	0.0000	states/eV per atom
relative energy among the computed polymorphs	47	meV per atom

=====

3.
Here is a geometry-optimized KGaCl2 structure from Alexandria. Energies are from PBE.

```
data_KGaCl2
_cell_length_a 9.0523
_cell_length_b 9.0523
_cell_length_c 9.0523
_cell_angle_alpha 30.11
_cell_angle_beta 30.11
_cell_angle_gamma 30.11
_symmetry_space_group_name_H-M 'P 1'
_symmetry_Int_Tables_number 1
loop_
_symmetry_equiv_pos_as_xyz
'x,y,z'
loop_
_atom_site_label
_atom_site_type_symbol
_atom_site_fract_x
_atom_site_fract_y
_atom_site_fract_z
K1 K 0.0000 0.0000 0.0000
Ga1 Ga 0.5000 0.5000 0.5000
Cl1 Cl 0.3986 0.3986 0.3986
Cl2 Cl 0.6014 0.6014 0.6014
```

uncorrected formation energy	-1159	meV per atom
density of states at the Fermi level	0.0000	states/eV per atom
relative energy among the computed polymorphs	128	meV per atom

=====

Q: Which value of density of states at the Fermi level does entry 1 give?
A: 0.0000 states/eV per atom

=====

Q: The lowest uncorrected formation energy belongs to which entry?
A: KGaCl4